A relaxed AcLaNd2 crystal, computed with GGA-PBE.

Calculated values
The total energy is -4.619 eV per atom. The calculation puts the energy relative to the lowest polymorph listed for this composition at 0.006 eV/atom. Its space group is P4/mmm (123). As for the magnetization: 0.0 μB per formula unit. As for the calculated formation energy: 2.3 kJ/mol of atoms.

a b c (Å): 3.806 3.806 10.491
angles (deg): 90.00 90.00 90.00
Positions (direct):
Ac (0.000, 0.000, 0.000)
La (0.000, 0.000, 0.500)
Nd (0.500, 0.500, 0.259)
Nd (0.500, 0.500, 0.741)